Here is a geometry-optimized Li4Nb2V3Ni3O16 structure from the Alexandria database. Energies are from GGA-PBEsol.

abc: 5.8091 5.8091 9.6283
angles: 89.61 89.61 59.73
Last column: nearest neighbours and their distance in Å.
Fractional coordinates of all 28 atoms:
O  0.9905  0.9905  0.2012  1 V 1.82, 1 Li 1.84, 2 Ni 1.96
O  0.3244  0.8272  0.9048  1 Nb 1.92, 1 Li 1.94, 1 Ni 2.04, 1 V 2.11
O  0.8272  0.3244  0.9048  1 Nb 1.92, 1 Li 1.94, 1 Ni 2.04, 1 V 2.11
O  0.8303  0.8303  0.8990  1 Li 1.97, 2 V 2.04, 1 Nb 2.05
O  0.3415  0.3415  0.9011  2 V 1.91, 1 Li 1.95, 1 Ni 2.05
O  0.5233  0.5233  0.1592  1 Li 1.92, 1 Nb 1.97, 2 Ni 2.00
O  0.1599  0.6662  0.4042  1 Nb 1.91, 1 Li 1.93, 1 Ni 2.08
O  0.4819  0.4819  0.6595  1 Li 1.94, 2 V 1.96
O  0.6835  0.6835  0.3946  1 V 1.83, 1 Li 1.95, 2 Ni 2.00
O  0.4894  0.0333  0.6614  1 V 1.85, 1 Li 1.95, 1 Ni 2.02
O  0.6662  0.1599  0.4042  1 Nb 1.91, 1 Li 1.93, 1 Ni 2.08
O  0.1628  0.1628  0.4097  1 Nb 1.89, 1 Li 1.92, 2 Ni 2.03
O  0.9727  0.5294  0.1546  1 V 1.84, 1 Li 1.91
O  0.9913  0.9913  0.6990  1 Li 1.85, 2 V 1.92, 1 Ni 2.00
O  0.0333  0.4894  0.6614  1 V 1.85, 1 Li 1.95, 1 Ni 2.02
O  0.5294  0.9727  0.1546  1 V 1.84, 1 Li 1.91
Li  0.9960  0.9960  0.5069  4 O 1.85-1.93
Li  0.6659  0.6659  0.5969  4 O 1.94-1.95
Li  0.9937  0.9937  0.0104  4 O 1.84-1.97
Li  0.3403  0.3403  0.1041  4 O 1.91-1.95
Ni  0.8329  0.3425  0.2883  6 O 1.96-2.09
Ni  0.3425  0.8329  0.2883  6 O 1.96-2.09
Ni  0.1693  0.1693  0.7892  6 O 2.00-2.05
V  0.8213  0.8213  0.2691  4 O 1.82-1.84
V  0.1674  0.6420  0.7802  5 O 1.85-2.04
V  0.6420  0.1674  0.7802  5 O 1.85-2.04
Nb  0.6536  0.6536  0.0050  4 O 1.92-2.05
Nb  0.3298  0.3298  0.4981  3 O 1.89-1.91

The space group is No. 8. The total DFT energy (no corrections) is -7.75 eV per atom. The volume is 10.0 Å³/atom.